VASP calculation (PBE) on Pm4Sb3N after structural relaxation.

Results
SG   Pmn2_1 (31)
Energy   -47.35 eV/f.u.
Formation energy (no corrections)   -0.96 eV per atom

Lattice parameters (Å, degrees): 9.897 8.734 6.329 90.00 90.00 90.00
Atoms (fractional coordinates):
Pm 0.000 0.095 0.000
Pm 0.000 0.818 0.561
Pm 0.210 0.693 0.001
Pm 0.290 0.307 0.501
Pm 0.500 0.182 0.061
Pm 0.500 0.905 0.500
Pm 0.710 0.307 0.501
Pm 0.790 0.693 0.001
Sb 0.000 0.158 0.490
Sb 0.231 0.337 0.990
Sb 0.269 0.663 0.490
Sb 0.500 0.842 0.990
Sb 0.731 0.663 0.490
Sb 0.769 0.337 0.990
N 0.000 0.821 0.926
N 0.500 0.179 0.426

VASP calculation (PBE) on PmSbN after structural relaxation.

Results
SG   P4/nmm (129)
Energy   -19.35 eV/f.u.
Relative energy among the computed polymorphs   0.00 kcal/mol of atoms
Formation energy (no corrections)   -0.72 eV per atom

Lattice parameters (Å, degrees): 4.176 4.176 8.166 90.00 90.00 90.00
Atoms (fractional coordinates):
Pm 0.250 0.250 0.127
Pm 0.750 0.750 0.873
Sb 0.250 0.250 0.561
Sb 0.750 0.750 0.439
N 0.250 0.750 0.000
N 0.750 0.250 0.000

VASP calculation (PBE) on PmSbN after structural relaxation.

Results
SG   P3m1 (156)
Energy   -18.01 eV/f.u.
Relative energy among the computed polymorphs   10.26 kcal/mol of atoms
Formation energy (no corrections)   -0.27 eV per atom

Lattice parameters (Å, degrees): 3.831 3.831 5.494 90.00 90.00 120.00
Atoms (fractional coordinates):
Pm 0.000 0.000 0.000
Sb 0.667 0.333 0.503
N 0.333 0.667 0.895

VASP calculation (PBE) on Pm2SbN after structural relaxation.

Results
SG   P4/mmm (123)
Energy   -24.53 eV/f.u.
Relative energy among the computed polymorphs   14.80 kcal/mol of atoms
Formation energy (no corrections)   -0.64 eV per atom

Lattice parameters (Å, degrees): 3.250 3.250 7.845 90.00 90.00 90.00
Atoms (fractional coordinates):
Pm 0.000 0.000 0.189
Pm 0.000 0.000 0.811
Sb 0.500 0.500 0.500
N 0.500 0.500 0.000

VASP calculation (PBE) on Pm4Sb2N after structural relaxation.

Results
SG   I4/mmm (139)
Energy   -42.99 eV/f.u.
Relative energy among the computed polymorphs   0.00 kcal/mol of atoms
Formation energy (no corrections)   -1.06 eV per atom

Lattice parameters (Å, degrees): 8.954 8.954 8.954 148.98 148.98 44.44
Atoms (fractional coordinates):
Pm 0.000 0.500 0.500
Pm 0.165 0.165 0.000
Pm 0.500 0.000 0.500
Pm 0.835 0.835 0.000
Sb 0.358 0.358 0.000
Sb 0.642 0.642 0.000
N 0.000 0.000 0.000

VASP calculation (PBE) on PmSbN after structural relaxation.

Results
SG   I4mm (107)
Energy   -19.07 eV/f.u.
Relative energy among the computed polymorphs   2.13 kcal/mol of atoms
Formation energy (no corrections)   -0.62 eV per atom

Lattice parameters (Å, degrees): 6.167 6.167 6.167 146.72 146.72 47.78
Atoms (fractional coordinates):
Pm 0.000 0.000 0.000
Sb 0.307 0.307 0.000
N 0.502 0.502 0.000

VASP calculation (PBE) on Pm2SbN after structural relaxation.

Results
SG   P4/nmm (129)
Energy   -27.10 eV/f.u.
Relative energy among the computed polymorphs   0.00 kcal/mol of atoms
Formation energy (no corrections)   -1.29 eV per atom

Lattice parameters (Å, degrees): 4.664 4.664 9.207 90.00 90.00 90.00
Atoms (fractional coordinates):
Pm 0.250 0.250 0.171
Pm 0.250 0.750 0.500
Pm 0.750 0.250 0.500
Pm 0.750 0.750 0.829
Sb 0.250 0.250 0.806
Sb 0.750 0.750 0.194
N 0.250 0.250 0.417
N 0.750 0.750 0.583

VASP calculation (PBE) on Pm8SbN4 after structural relaxation.

Results
SG   F-43m (216)
Energy   -85.57 eV/f.u.
Formation energy (no corrections)   -0.78 eV per atom

Lattice parameters (Å, degrees): 7.729 7.729 7.729 60.00 60.00 60.00
Atoms (fractional coordinates):
Pm 0.079 0.640 0.640
Pm 0.102 0.102 0.102
Pm 0.102 0.102 0.694
Pm 0.102 0.694 0.102
Pm 0.640 0.079 0.640
Pm 0.640 0.640 0.079
Pm 0.640 0.640 0.640
Pm 0.694 0.102 0.102
Sb 0.250 0.250 0.250
N 0.386 0.871 0.871
N 0.871 0.386 0.871
N 0.871 0.871 0.386
N 0.871 0.871 0.871

VASP calculation (PBE) on PmSbN2 after structural relaxation.

Results
SG   R-3m (166)
Energy   -24.52 eV/f.u.
Formation energy (no corrections)   0.25 eV per atom

Lattice parameters (Å, degrees): 7.286 7.286 7.286 26.50 26.50 26.50
Atoms (fractional coordinates):
Pm 0.000 0.000 0.000
Sb 0.500 0.500 0.500
N 0.115 0.115 0.115
N 0.885 0.885 0.885

VASP calculation (PBE) on Pm5Sb4N after structural relaxation.

Results
SG   I4 (79)
Energy   -59.31 eV/f.u.
Formation energy (no corrections)   -1.07 eV per atom

Lattice parameters (Å, degrees): 7.501 7.501 7.501 100.22 100.22 130.17
Atoms (fractional coordinates):
Pm 0.000 0.000 0.000
Pm 0.160 0.329 0.641
Pm 0.329 0.688 0.169
Pm 0.519 0.160 0.831
Pm 0.688 0.519 0.359
Sb 0.008 0.614 0.781
Sb 0.227 0.008 0.394
Sb 0.614 0.833 0.606
Sb 0.833 0.227 0.219
N 0.362 0.362 0.000

VASP calculation (PBE) on Pm2SbN after structural relaxation.

Results
SG   R-3m (166)
Energy   -26.38 eV/f.u.
Relative energy among the computed polymorphs   4.14 kcal/mol of atoms
Formation energy (no corrections)   -1.11 eV per atom

Lattice parameters (Å, degrees): 8.003 8.003 8.003 26.69 26.69 26.69
Atoms (fractional coordinates):
Pm 0.225 0.225 0.225
Pm 0.775 0.775 0.775
Sb 0.000 0.000 0.000
N 0.500 0.500 0.500

VASP calculation (PBE) on Pm2SbN after structural relaxation.

Results
SG   P4/mmm (123)
Energy   -22.61 eV/f.u.
Relative energy among the computed polymorphs   25.87 kcal/mol of atoms
Formation energy (no corrections)   -0.16 eV per atom

Lattice parameters (Å, degrees): 5.053 5.053 3.648 90.00 90.00 90.00
Atoms (fractional coordinates):
Pm 0.000 0.500 0.000
Pm 0.500 0.000 0.000
Sb 0.000 0.000 0.500
N 0.500 0.500 0.500